An optimized crystal structure of Be2RhAu, computed with PBE-GGA.

Values from the calculation:
polymorph energy (0 for the lowest one)	0.0794	eV/atom
final energy	-4.906	eV per atom
magnetic moment	0.00	Bohr magnetons per cell
SG	Amm2, No. 38
E_form	-386	meV per atom

a = 4.539 Å, b = 4.539 Å, c = 3.692 Å
α = 90.01°, β = 90.01°, γ = 38.31°
Sites, in units of the cell vectors:
Au 0.229 0.229 0.125
Be 0.799 0.799 0.625
Be 0.957 0.957 0.125
Rh 0.514 0.514 0.625